w) Compound: MoPtRh
Source: Alexandria via LeMat-Bulk
Functional: PBE-GGA
Structure: relaxed

```
MoPtRh
1.0
-2.119 -3.646 -0.342
2.045 -3.542 -1.084
0.586 -3.064 2.859
Rh Mo Pt
1 1 1
direct
0.500 0.500 0.500
0.750 0.750 0.750
0.000 0.000 0.000
```

Summary:
V = 17.86 Å³/atom
density = 12212 kg/m3
symmetry = F-43m (216)
total magnetic moment = 0.00 μB per formula unit

***

x) Compound: MoPtRh
Source: Alexandria via LeMat-Bulk
Functional: PBE-GGA
Structure: relaxed

```
MoPtRh
1.0
4.403 0.000 0.000
2.201 4.398 -1.652
2.201 0.088 4.698
Pt Mo Rh
2 2 2
direct
0.500 0.831 0.169
0.500 0.169 0.831
0.746 0.254 0.254
0.254 0.746 0.746
0.000 0.337 0.663
0.000 0.663 0.337
```

Summary:
V = 15.27 Å³/atom
density = 14281 kg/m3
symmetry = Immm (71)
total magnetic moment = 0.00 μB per formula unit

***

Most favorable first, least favorable last: x), w)

***

w) Compound: MoPtRh
Source: Alexandria via LeMat-Bulk
Functional: PBE-GGA
Structure: relaxed

```
MoPtRh
1.0
6.264 0.021 -0.022
5.649 2.707 -0.024
0.615 0.143 2.682
Pt Rh Mo
1 1 1
direct
0.337 0.337 0.663
0.660 0.660 0.340
0.003 0.003 0.997
```

Summary:
V = 15.07 Å³/atom
density = 14469 kg/m3
symmetry = I4mm (107)
total magnetic moment = 0.00 μB per formula unit

***

x) Compound: MoPtRh
Source: Alexandria via LeMat-Bulk
Functional: PBE-GGA
Structure: relaxed

```
MoPtRh
1.0
-1.538 3.066 -2.746
-2.324 -3.656 0.735
-1.280 1.235 2.097
Mo Rh Pt
1 1 1
direct
0.000 0.000 0.834
0.667 0.333 0.833
0.333 0.667 0.333
```

Summary:
V = 15.33 Å³/atom
density = 14225 kg/m3
symmetry = P-6m2 (187)
total magnetic moment = 0.00 μB per formula unit

***

y) Compound: MoPtRh
Source: Alexandria via LeMat-Bulk
Functional: PBE-GGA
Structure: relaxed

```
MoPtRh
1.0
4.814 0.005 -0.001
2.427 4.158 0.001
-3.215 -2.787 2.252
Pt Rh Mo
1 1 1
direct
0.334 0.334 0.000
0.662 0.662 0.000
0.003 0.003 0.000
```

Summary:
V = 15.02 Å³/atom
density = 14517 kg/m3
symmetry = Imm2 (44)
total magnetic moment = 0.00 μB per formula unit

***

z) Compound: MoPtRh
Source: Alexandria via LeMat-Bulk
Functional: PBE-GGA
Structure: relaxed

```
MoPtRh
1.0
-1.549 -2.282 0.205
0.650 -0.830 -4.321
6.796 -2.767 1.554
Mo Pt Rh
2 2 2
direct
0.947 0.750 0.894
0.053 0.250 0.106
0.282 0.750 0.562
0.718 0.250 0.438
0.608 0.750 0.213
0.392 0.250 0.787
```

Summary:
V = 15.10 Å³/atom
density = 14435 kg/m3
symmetry = P2_1/m (11)
total magnetic moment = 0.00 μB per formula unit

***

Most favorable first, least favorable last: y), w), z), x)

***

w) Compound: MoPt2Rh6
Source: Alexandria via LeMat-Bulk
Functional: PBE-GGA
Structure: relaxed

```
MoPt2Rh6
1.0
-4.116 -2.392 1.816
4.147 -0.608 6.126
-2.419 6.921 1.159
Rh Pt Mo
12 4 2
direct
0.210 0.555 0.933
0.816 0.042 0.229
0.290 0.067 0.445
0.790 0.445 0.067
0.507 0.333 0.737
0.684 0.771 0.958
0.316 0.229 0.042
0.007 0.737 0.333
0.493 0.667 0.263
0.710 0.933 0.555
0.184 0.958 0.771
0.993 0.263 0.667
0.645 0.340 0.387
0.145 0.387 0.340
0.355 0.660 0.613
0.855 0.613 0.660
0.750 0.103 0.897
0.250 0.897 0.103
```

Summary:
V = 15.21 Å³/atom
density = 13383 kg/m3
symmetry = C2/c (15)
total magnetic moment = 0.00 μB per formula unit

***

x) Compound: MoPt2Rh6
Source: Alexandria via LeMat-Bulk
Functional: PBE-GGA
Structure: relaxed

```
MoPt2Rh6
1.0
3.887 0.000 0.000
1.943 4.335 -0.023
1.943 1.813 7.795
Rh Pt Mo
6 2 1
direct
0.999 0.172 0.830
0.334 0.942 0.389
0.662 0.727 0.948
0.666 0.058 0.611
0.338 0.273 0.052
0.001 0.828 0.170
0.336 0.608 0.721
0.664 0.392 0.279
0.000 0.500 0.500
```

Summary:
V = 14.61 Å³/atom
density = 13936 kg/m3
symmetry = C2/m (12)
total magnetic moment = 0.00 μB per formula unit

***

Most favorable first, least favorable last: x), w)

***

w) Compound: Mo2Pt5Rh5
Source: Alexandria via LeMat-Bulk
Functional: PBE-GGA
Structure: relaxed

```
Mo2Pt5Rh5
1.0
4.666 0.000 0.000
-2.333 6.057 0.079
0.000 -3.250 6.455
Rh Pt Mo
5 5 2
direct
0.240 0.481 0.219
0.920 0.841 0.595
0.760 0.519 0.781
0.080 0.159 0.405
0.000 0.000 0.000
0.500 0.000 0.500
0.674 0.349 0.348
0.406 0.813 0.067
0.594 0.187 0.933
0.326 0.651 0.652
0.844 0.688 0.201
0.156 0.312 0.799
```

Summary:
V = 15.30 Å³/atom
density = 15207 kg/m3
symmetry = C2/m (12)
total magnetic moment = 0.00 μB per formula unit

***

x) Compound: Mo2Pt5Rh5
Source: Alexandria via LeMat-Bulk
Functional: PBE-GGA
Structure: relaxed

```
Mo2Pt5Rh5
1.0
3.762 0.000 0.925
1.632 5.789 1.476
-0.051 0.529 8.320
Pt Mo Rh
5 2 5
direct
0.745 0.259 0.252
0.839 0.826 0.496
0.255 0.741 0.748
0.000 0.000 0.000
0.161 0.174 0.504
0.085 0.586 0.243
0.915 0.414 0.757
0.666 0.663 0.004
0.334 0.337 0.996
0.425 0.901 0.250
0.500 0.500 0.500
0.575 0.099 0.750
```

Summary:
V = 14.95 Å³/atom
density = 15571 kg/m3
symmetry = C2/m (12)
total magnetic moment = 0.00 μB per formula unit

***

Most favorable first, least favorable last: x), w)

***

w) Compound: MoPt4Rh2
Source: Alexandria via LeMat-Bulk
Functional: PBE-GGA
Structure: relaxed

```
MoPt4Rh2
1.0
6.687 0.006 -0.010
-2.223 6.307 0.010
-2.242 -3.150 5.456
Pt Rh Mo
8 4 2
direct
0.800 0.256 0.890
0.640 0.756 0.050
0.115 0.409 0.360
0.456 0.091 0.200
0.110 0.909 0.365
0.950 0.591 0.706
0.635 0.744 0.544
0.294 0.244 0.885
0.491 0.366 0.625
0.375 0.866 0.741
0.259 0.634 0.125
0.875 0.134 0.509
0.750 0.500 0.250
0.000 0.000 0.000
```

Summary:
V = 16.44 Å³/atom
density = 15611 kg/m3
symmetry = I-42d (122)
total magnetic moment = 0.00 μB per formula unit

***

x) Compound: MoPt4Rh2
Source: Alexandria via LeMat-Bulk
Functional: PBE-GGA
Structure: relaxed

```
MoPt4Rh2
1.0
3.905 0.000 0.000
1.953 4.374 -0.389
0.000 -0.389 6.247
Rh Mo Pt
2 1 4
direct
0.712 0.577 0.870
0.288 0.423 0.130
0.000 0.000 0.000
0.433 0.134 0.719
0.567 0.866 0.281
0.853 0.294 0.421
0.147 0.706 0.579
```

Summary:
V = 15.16 Å³/atom
density = 16932 kg/m3
symmetry = C2/m (12)
total magnetic moment = 0.00 μB per formula unit

***

Most favorable first, least favorable last: x), w)

***

w) Compound: MoPt3Rh2
Source: Alexandria via LeMat-Bulk
Functional: PBE-GGA
Structure: relaxed

```
MoPt3Rh2
1.0
2.744 0.000 0.000
1.372 6.906 0.165
1.372 1.734 9.894
Pt Mo Rh
6 2 4
direct
0.044 0.133 0.778
0.394 0.173 0.040
0.248 0.198 0.307
0.606 0.827 0.960
0.752 0.802 0.693
0.956 0.867 0.222
0.434 0.477 0.654
0.566 0.523 0.346
0.823 0.469 0.885
0.640 0.184 0.536
0.177 0.531 0.115
0.360 0.816 0.464
```

Summary:
V = 15.56 Å³/atom
density = 15777 kg/m3
symmetry = C2/m (12)
total magnetic moment = 0.00 μB per formula unit

***

x) Compound: MoPt3Rh2
Source: Alexandria via LeMat-Bulk
Functional: PBE-GGA
Structure: relaxed

```
MoPt3Rh2
1.0
2.704 0.000 0.000
0.000 8.590 0.000
0.000 0.000 9.470
Pt Rh Mo
6 4 2
direct
0.000 0.000 0.000
0.500 0.500 0.500
0.000 0.472 0.753
0.500 0.028 0.253
0.000 0.528 0.247
0.500 0.972 0.747
0.500 0.246 0.897
0.000 0.254 0.397
0.000 0.746 0.603
0.500 0.754 0.103
0.500 0.500 0.000
0.000 0.000 0.500
```

Summary:
V = 18.33 Å³/atom
density = 13391 kg/m3
symmetry = Pnnm (58)
total magnetic moment = 0.00 μB per formula unit

***

Most favorable first, least favorable last: w), x)